Record 1
Computed, not measured: crystalline LaTlSn2Br at its relaxed geometry at the GGA-PBE level of DFT.

Calculated values
Formation energy without anion corrections (kcal/mol of atoms): -0.4
Magnetic moment (μB/atom): 0.000

Geometry as POSCAR:
```
LaTlSn2Br
1.0
-1.9368 4.6014 -3.6160
-4.8119 -2.9452 -1.1705
-2.7831 2.6264 4.8328
Sn Tl La Br
2 1 1 1
direct
0.5000 0.0000 0.0000
0.0000 0.0000 0.5000
0.5000 0.5000 0.5000
0.0000 0.0000 0.0000
0.0000 0.5000 0.0000
```

=====

Record 2
Computed, not measured: crystalline LaTlSn2Br8 at its relaxed geometry at the GGA-PBE level of DFT.

Calculated values
Formation energy without anion corrections (kcal/mol of atoms): -26.9
Magnetic moment (μB/atom): 0.000

Geometry as POSCAR:
```
LaTlSn2Br8
1.0
7.3248 0.0242 0.0017
0.0802 6.9693 -0.0037
0.0147 0.0161 9.1877
Br Sn La Tl
8 2 1 1
direct
0.3641 0.2760 0.5011
0.1641 0.7526 0.7724
0.8356 0.2471 0.7724
0.1644 0.7529 0.2276
0.3266 0.2507 0.9992
0.8359 0.2474 0.2276
0.6359 0.7240 0.4989
0.6734 0.7493 0.0008
0.5003 0.5003 0.2558
0.4997 0.4997 0.7442
0.0000 0.0000 0.0000
0.0000 0.0000 0.5000
```

=====

Record 3
Computed, not measured: crystalline Sr3LaBr at its relaxed geometry at the GGA-PBE level of DFT.

Calculated values
Formation energy without anion corrections (kcal/mol of atoms): -7.1
Magnetic moment (μB/atom): 0.362
Relative energy among the computed polymorphs (eV per atom): 0.000

Geometry as POSCAR:
```
Sr3LaBr
1.0
-5.1165 3.3439 0.4403
-1.3384 -1.2786 -5.8419
-3.0959 -4.9737 1.7979
Br Sr La
1 3 1
direct
0.0000 0.0000 0.0000
0.0000 0.5000 0.0000
0.5000 0.0000 0.0000
0.0000 0.0000 0.5000
0.5000 0.5000 0.5000
```